Record 1
# Sc2NiRh

Crystalline Sc2NiRh at its relaxed geometry (PBEsol, Alexandria via LeMat-Bulk).

abc: 3.1167 4.5019 4.5019
angles: 90.00 90.00 90.00
With the nearest neighbours (Å) after each atom.
Fractional positions:
1 Sc 0.5000 0.5000 0.0000  4 Ni 2.74, 4 Rh 2.74
2 Sc 0.5000 0.0000 0.5000  4 Ni 2.74, 4 Rh 2.74
3 Ni 0.0000 0.5000 0.5000  8 Sc 2.74
4 Rh 0.0000 0.0000 0.0000  8 Sc 2.74

Summary:
Density in kg/m3: 6612
ΔE_f in eV per atom: -0.729
Symmetry: No. 123

***

Record 2
# Sc2NiRh

Crystalline Sc2NiRh at its relaxed geometry (PBEsol, Alexandria via LeMat-Bulk).

abc: 4.4699 4.4699 4.4699
angles: 60.00 60.00 60.00
With the nearest neighbours (Å) after each atom.
Fractional positions:
1 Sc 0.7500 0.7500 0.7500  4 Ni 2.74, 4 Rh 2.74
2 Sc 0.2500 0.2500 0.2500  4 Ni 2.74, 4 Rh 2.74
3 Ni 0.5000 0.5000 0.5000  8 Sc 2.74
4 Rh 0.0000 0.0000 0.0000  8 Sc 2.74

Summary:
Density in kg/m3: 6613
ΔE_f in eV per atom: -0.726
Symmetry: No. 225

***

Record 3
# ScNiRh2

Crystalline ScNiRh2 at its relaxed geometry (PBEsol, Alexandria via LeMat-Bulk).

abc: 2.7662 2.7662 8.6771
angles: 80.83 80.83 60.00
With the nearest neighbours (Å) after each atom.
Fractional positions:
1 Ni 0.2516 0.2516 0.2453  3 Rh 2.57, 3 Sc 2.64, 6 Ni 2.77
2 Rh 0.9970 0.9970 0.0089  3 Ni 2.57, 9 Rh 2.70-2.77
3 Rh 0.7487 0.7487 0.7538  9 Rh 2.70-2.77, 3 Sc 2.75
4 Sc 0.5027 0.5027 0.4920  3 Ni 2.64, 3 Rh 2.75, 6 Sc 2.77

Summary:
Density in kg/m3: 9092
ΔE_f in eV per atom: 0.034
Symmetry: No. 160

***

Record 4
# ScNi2Rh

Crystalline ScNi2Rh at its relaxed geometry (PBEsol, Alexandria via LeMat-Bulk).

abc: 3.0866 3.0866 5.6000
angles: 90.00 90.00 90.00
With the nearest neighbours (Å) after each atom.
Fractional positions:
1 Ni 0.0000 0.0000 0.0343  4 Ni 2.44, 1 Rh 2.49, 4 Sc 2.67
2 Ni 0.5000 0.5000 0.2278  4 Ni 2.44, 4 Rh 2.60, 1 Sc 2.63
3 Rh 0.0000 0.0000 0.4792  5 Ni 2.49-2.60, 4 Sc 2.69
4 Sc 0.5000 0.5000 0.7586  5 Ni 2.63-2.67, 4 Rh 2.69

Summary:
Density in kg/m3: 8256
ΔE_f in eV per atom: -0.302
Symmetry: No. 99

***

Record 5
# ScNiRh2

Crystalline ScNiRh2 at its relaxed geometry (PBEsol, Alexandria via LeMat-Bulk).

abc: 2.7935 3.7209 5.3968
angles: 90.00 90.00 90.00
With the nearest neighbours (Å) after each atom.
Fractional positions:
1 Ni 0.5000 0.5000 0.7694  5 Rh 2.51-2.61, 4 Sc 2.73, 2 Ni 2.79
2 Rh 0.0000 0.0000 0.9902  4 Ni 2.61, 2 Sc 2.62-2.78, 6 Rh 2.68-2.79
3 Rh 0.5000 0.5000 0.2350  1 Ni 2.51, 6 Rh 2.68-2.79, 4 Sc 2.75
4 Sc 0.0000 0.0000 0.5054  6 Rh 2.62-2.78, 4 Ni 2.73, 2 Sc 2.79

Summary:
Density in kg/m3: 9160
ΔE_f in eV per atom: -0.334
Symmetry: No. 25

***

Record 6
# NiRh2Se

Crystalline NiRh2Se at its relaxed geometry (PBEsol, Alexandria via LeMat-Bulk).

abc: 2.8932 4.2475 5.0591
angles: 114.82 106.61 90.00
With the nearest neighbours (Å) after each atom.
Fractional positions:
1 Ni 0.2269 0.7269 0.4539  2 Se 2.41, 4 Rh 2.60
2 Rh 0.9929 0.9929 0.9858  4 Se 2.57, 2 Ni 2.73, 4 Rh 2.85
3 Rh 0.7746 0.2746 0.5493  2 Se 2.48, 4 Ni 2.60
4 Se 0.5055 0.5055 0.0110  2 Ni 2.41, 6 Rh 2.48-2.57

Summary:
Density in kg/m3: 10650
Formation energy from raw total energies in eV per formula unit: 0.3
Symmetry: No. 44

***

Record 7
# NiRhSe2

Crystalline NiRhSe2 at its relaxed geometry (PBEsol, Alexandria via LeMat-Bulk).

abc: 4.3978 4.3978 4.3978
angles: 60.00 60.00 60.00
With the nearest neighbours (Å) after each atom.
Fractional positions:
1 Ni 0.5000 0.5000 0.5000  4 Se 2.69, 4 Rh 2.69
2 Rh 0.2500 0.2500 0.2500  4 Ni 2.69, 4 Se 2.69
3 Se 0.0000 0.0000 0.0000  4 Rh 2.69, 4 Se 2.69
4 Se 0.7500 0.7500 0.7500  4 Se 2.69, 4 Ni 2.69

Summary:
Density in kg/m3: 8822
Formation energy from raw total energies in eV per formula unit: 2.0
Symmetry: No. 216

***

Record 8
# NiRhSe2

Crystalline NiRhSe2 at its relaxed geometry (PBEsol, Alexandria via LeMat-Bulk).

abc: 3.7540 3.3840 4.9242
angles: 90.00 102.48 90.00
With the nearest neighbours (Å) after each atom.
Fractional positions:
1 Ni 0.4161 0.6250 0.0687  4 Se 2.39-2.57, 2 Rh 2.66
2 Rh 0.8072 0.1250 0.4306  6 Se 2.48-2.63, 2 Ni 2.66
3 Se 0.9585 0.1250 0.9645  2 Ni 2.39, 2 Rh 2.48-2.57
4 Se 0.3182 0.6250 0.5363  2 Ni 2.41-2.57, 4 Rh 2.53-2.63

Summary:
Density in kg/m3: 8687
Formation energy from raw total energies in eV per formula unit: -0.7
Symmetry: No. 6

***

Number 1: electronic total energy -7.606 eV per atom. Number 2: electronic total energy -7.603 eV per atom. Number 3: electronic total energy -7.226 eV per atom. Number 4: electronic total energy -7.066 eV per atom. Number 5: electronic total energy -7.594 eV per atom. Number 6: electronic total energy -6.493 eV per atom. Number 7: electronic total energy -5.009 eV per atom. Number 8: electronic total energy -5.681 eV per atom.